InSeS2 | PBE | optimized geometry

Calculated values
Formation energy from raw total energies ... -0.151 eV/atom
Symmetry ... No. 166
Calculated total energy ... -3.771 eV per atom
Energy above the most stable polymorph in this dataset ... 0.000 eV/atom

abc: 8.057 8.057 8.057
angles: 27.55 27.55 27.55
Sites, in units of the cell vectors:
S 0.104 0.104 0.104
S 0.896 0.896 0.896
In 0.500 0.500 0.500
Se 0.000 0.000 0.000

InSe3S8 | PBE | optimized geometry

Calculated values
Formation energy from raw total energies ... 0.071 eV/atom
Symmetry ... No. 1
Calculated total energy ... -3.780 eV per atom

abc: 9.967 9.269 8.534
angles: 55.44 90.83 130.41
Sites, in units of the cell vectors:
S 0.707 0.586 0.439
S 0.192 0.492 0.780
S 0.775 0.541 0.255
S 0.789 0.920 0.617
S 0.484 0.078 0.028
S 0.668 0.997 0.704
S 0.363 0.124 0.162
S 0.969 0.318 0.046
Se 0.094 0.322 0.274
Se 0.515 0.033 0.516
Se 0.798 0.497 0.696
In 0.146 0.091 0.983

In3SeS2 | PBE | optimized geometry

Calculated values
Formation energy from raw total energies ... -0.359 eV/atom
Symmetry ... No. 44
Calculated total energy ... -3.684 eV per atom
Energy above the most stable polymorph in this dataset ... 0.000 eV/atom

abc: 4.144 7.367 7.139
angles: 121.06 106.87 90.00
Sites, in units of the cell vectors:
In 0.000 0.947 0.000
In 0.637 0.679 0.274
In 0.363 0.405 0.726
Se 0.500 0.159 0.000
S 0.808 0.585 0.616
S 0.192 0.969 0.384

In3SeS | PBE | optimized geometry

Calculated values
Formation energy from raw total energies ... 0.319 eV/atom
Symmetry ... No. 221
Calculated total energy ... -2.846 eV per atom
Energy above the most stable polymorph in this dataset ... 0.200 eV/atom

abc: 5.615 5.615 5.615
angles: 90.00 90.00 90.00
Sites, in units of the cell vectors:
In 0.000 0.000 0.500
In 0.000 0.500 0.000
In 0.500 0.000 0.000
S 0.500 0.500 0.500
Se 0.000 0.000 0.000